Compound: Tc4Rh
Source: the Alexandria database
Functional: PBE
Structure: relaxed

Structure (POSCAR):
```
Tc4Rh
1.0
6.9861 -1.9337 0.0000
6.9861 1.9337 0.0000
-1.0801 0.0000 5.3560
Tc Rh
8 2
direct
0.0000 0.0000 0.0000 Tc
0.0000 0.0000 0.5000 Tc
0.1991 0.1991 0.6017 Tc
0.2005 0.2005 0.1039 Tc
0.4002 0.4002 0.6989 Tc
0.5998 0.5998 0.3011 Tc
0.7995 0.7995 0.8961 Tc
0.8009 0.8009 0.3983 Tc
0.3994 0.3994 0.1996 Rh
0.6006 0.6006 0.8004 Rh
```

The total energy comes out at -0.359 Ha/atom. For the energy above the most stable polymorph in this dataset, the calculation gives 0.000 eV/atom. For the formation energy, the calculation gives -0.10 kcal/mol of atoms. Its space group is No. 12.